A relaxed structure of Pm6Nd10Th, computed with PBE-GGA.

Values from the calculation:
size of the total moment: 0.00 μB per cell
E_form: 0.14 eV per atom
energy: -4.7746 eV/atom
SG: P-31m, No. 162

Cell: 7.061 9.915 9.915 Å, 120.00 90.00 90.00°
Element x y z (fractional)
Pm 0.303 0.372 0.000
Pm 0.697 0.372 0.372
Pm 0.303 0.628 0.628
Pm 0.303 0.000 0.372
Pm 0.697 0.628 0.000
Pm 0.697 0.000 0.628
Nd 0.000 0.333 0.667
Nd 0.000 0.667 0.333
Nd 0.185 0.272 0.272
Nd 0.815 0.000 0.272
Nd 0.815 0.728 0.728
Nd 0.185 0.000 0.728
Nd 0.815 0.272 0.000
Nd 0.185 0.728 0.000
Nd 0.500 0.333 0.667
Nd 0.500 0.667 0.333
Th 0.500 0.000 0.000

=====

A relaxed structure of Tm4CSe3, computed with PBE-GGA.

Values from the calculation:
size of the total moment: 0.00 μB per cell
ΔE_f (raw): -1.460 eV per atom
energy: -6.1556 eV/atom
SG: Cmmm, No. 65

Cell: 3.836 6.846 6.846 Å, 108.72 90.00 90.00°
Element x y z (fractional)
Tm 0.500 0.779 0.221
Tm 0.000 0.791 0.791
Tm 0.000 0.209 0.209
Tm 0.500 0.221 0.779
Se 0.500 0.500 0.500
Se 0.000 0.500 0.000
Se 0.000 0.000 0.500
C 0.500 0.000 0.000

=====

A relaxed structure of GdMgCdIr, computed with PBE-GGA.

Values from the calculation:
size of the total moment: 7.29 μB per cell
E_form: -0.34 eV per atom
energy: -6.7056 eV/atom
SG: F-43m, No. 216

Cell: 4.888 4.888 4.888 Å, 60.00 60.00 60.00°
Each line ends with the local moment (μB).
Element x y z (fractional)
Cd 0.750 0.750 0.750  0.02
Ir 0.250 0.250 0.250  0.01
Mg 0.000 0.000 0.000  0.00
Gd 0.500 0.500 0.500  7.06

=====

A relaxed structure of Ce3Nb, computed with PBE-GGA.

Values from the calculation:
size of the total moment: 0.00 μB per cell
E_form: 0.18 eV per atom
energy: -6.7839 eV/atom
SG: I4/mmm, No. 139

Cell: 4.363 4.363 5.926 Å, 111.60 111.60 90.00°
Element x y z (fractional)
Nb 0.000 0.000 0.000
Ce 0.250 0.750 0.500
Ce 0.750 0.250 0.500
Ce 0.500 0.500 0.000

=====

A relaxed structure of Cs2TaBBr6, computed with PBE-GGA.

Values from the calculation:
size of the total moment: 2.00 μB per cell
ΔE_f (raw): -0.647 eV per atom
energy: -3.6745 eV/atom
SG: I4/mmm, No. 139

Cell: 7.566 7.566 7.954 Å, 61.60 61.60 90.00°
Each line ends with the local moment (μB).
Element x y z (fractional)
Br 0.223 0.223 0.553  0.01
Br 0.754 0.246 0.000  0.00
Br 0.246 0.754 0.000  0.00
Br 0.777 0.777 0.447  0.01
Br 0.754 0.754 0.000  0.00
Br 0.246 0.246 0.000  0.00
Ta 0.000 0.000 0.000  1.16
B 0.500 0.500 0.000  0.13
Cs 0.250 0.750 0.500  0.00
Cs 0.750 0.250 0.500  0.00

=====

A relaxed structure of Li4Ac3Hg4, computed with PBE-GGA.

Values from the calculation:
size of the total moment: 0.00 μB per cell
E_form: -0.34 eV per atom
energy: -2.2669 eV/atom
SG: Immm, No. 71

Cell: 4.002 4.817 15.735 Å, 81.20 82.71 90.00°
Element x y z (fractional)
Hg 0.553 0.553 0.894
Hg 0.690 0.190 0.620
Hg 0.310 0.810 0.380
Hg 0.447 0.447 0.106
Li 0.253 0.253 0.494
Li 0.596 0.096 0.808
Li 0.747 0.747 0.506
Li 0.404 0.904 0.192
Ac 0.853 0.354 0.293
Ac 0.000 0.000 0.000
Ac 0.147 0.646 0.707

=====

A relaxed structure of Al6Ga8Ag, computed with PBE-GGA.

Values from the calculation:
size of the total moment: 0.00 μB per cell
E_form: 0.07 eV per atom
energy: -3.2282 eV/atom
SG: P-3, No. 147

Cell: 6.382 7.133 7.133 Å, 120.00 90.00 90.00°
Element x y z (fractional)
Al 0.659 0.683 0.061
Al 0.341 0.061 0.377
Al 0.341 0.317 0.939
Al 0.341 0.623 0.683
Al 0.659 0.939 0.623
Al 0.659 0.377 0.317
Ga 0.892 0.026 0.339
Ga 0.108 0.687 0.026
Ga 0.892 0.661 0.687
Ga 0.892 0.313 0.974
Ga 0.627 0.333 0.667
Ga 0.108 0.339 0.313
Ga 0.108 0.974 0.661
Ga 0.373 0.667 0.333
Ag 0.500 0.000 0.000

=====

A relaxed structure of LaBe3Pt, computed with PBE-GGA.

Values from the calculation:
size of the total moment: 0.00 μB per cell
E_form: -0.46 eV per atom
energy: -4.8893 eV/atom
SG: Imma, No. 74

Cell: 5.694 8.580 6.481 Å, 90.00 90.00 90.00°
Element x y z (fractional)
La 0.500 0.250 0.595
La 0.500 0.750 0.405
La 0.000 0.750 0.095
La 0.000 0.250 0.905
Be 0.250 0.926 0.750
Be 0.250 0.574 0.750
Be 0.000 0.250 0.394
Be 0.750 0.074 0.250
Be 0.500 0.250 0.106
Be 0.250 0.074 0.250
Be 0.750 0.426 0.250
Be 0.500 0.750 0.894
Be 0.250 0.426 0.250
Be 0.000 0.750 0.606
Be 0.750 0.574 0.750
Be 0.750 0.926 0.750
Pt 0.500 0.000 0.000
Pt 0.000 0.500 0.500
Pt 0.000 0.000 0.500
Pt 0.500 0.500 0.000